Density functional theory data (PBE-GGA) for an optimized crystal structure of Ca8Rh2Pb.

* calculated formation energy: -0.3110 eV per atom
* calculated density: 3.44 Mg/m³
* space group: P1
* total DFT energy (no corrections): -0.2529 Ry per atom
* total magnetic moment: 0.00 μB per formula unit

Cell: 6.718 7.805 8.293 Å, 112.94 108.18 101.28°
Sites, in units of the cell vectors:
Ca 0.000 0.000 0.000
Ca 0.012 0.473 0.780
Ca 0.247 0.538 0.280
Ca 0.337 0.220 0.541
Ca 0.401 0.897 0.781
Ca 0.630 0.587 0.999
Ca 0.662 0.330 0.279
Ca 0.835 0.908 0.540
Rh 0.261 0.240 0.891
Rh 0.638 0.617 0.646
Pb 0.412 0.890 0.194

***

Density functional theory data (PBE-GGA) for an optimized crystal structure of Na12InPb3.

* calculated formation energy: -0.0773 eV per atom
* calculated density: 3.46 Mg/m³
* space group: P4/mmm
* total DFT energy (no corrections): -0.1421 Ry per atom
* total magnetic moment: 0.00 μB per formula unit

Cell: 4.927 4.927 19.989 Å, 90.00 90.00 90.00°
Sites, in units of the cell vectors:
Na 0.000 0.000 0.000
Na 0.000 0.000 0.249
Na 0.000 0.000 0.500
Na 0.000 0.000 0.751
Na 0.000 0.500 0.126
Na 0.000 0.500 0.375
Na 0.000 0.500 0.625
Na 0.000 0.500 0.874
Na 0.500 0.000 0.126
Na 0.500 0.000 0.375
Na 0.500 0.000 0.625
Na 0.500 0.000 0.874
In 0.500 0.500 0.000
Pb 0.500 0.500 0.248
Pb 0.500 0.500 0.500
Pb 0.500 0.500 0.752

***

Density functional theory data (PBE-GGA) for an optimized crystal structure of HfTe2PI.

* calculated density: 5.49 Mg/m³
* energy above the most stable polymorph in this dataset: 0.000 eV per atom
* E_form (uncorrected): 0.3487 eV/atom
* space group: P4/mmm
* total DFT energy (no corrections): -0.3154 Ry per atom
* total magnetic moment: 2.50 μB per formula unit

Cell: 5.564 5.564 5.776 Å, 90.00 90.00 90.00°
Sites, in units of the cell vectors:
Hf 0.000 0.000 0.000
Te 0.000 0.500 0.000
Te 0.500 0.000 0.000
P 0.500 0.500 0.500
I 0.000 0.000 0.500

***

Density functional theory data (PBE-GGA) for an optimized crystal structure of MgAlTe2N.

* calculated density: 4.62 Mg/m³
* energy above the most stable polymorph in this dataset: 0.000 eV per atom
* E_form (uncorrected): 0.0311 eV/atom
* space group: P4/mmm
* total DFT energy (no corrections): -0.2909 Ry per atom
* total magnetic moment: 0.00 μB per formula unit

Cell: 5.770 5.770 3.463 Å, 90.00 90.00 90.00°
Sites, in units of the cell vectors:
Mg 0.000 0.000 0.000
Al 0.500 0.500 0.500
Te 0.000 0.500 0.500
Te 0.500 0.000 0.500
N 0.500 0.500 0.000